Below is a relaxed structure of PmSm3Ge2, with properties calculated at the GGA-PBE level.

It has space group P-4m2 (No. 115), with a = 4.449 Å, b = 4.449 Å, c = 8.342 Å, α = 90.00°, β = 90.00° and γ = 90.00°. The distinct sites, in fractional coordinates, are Pm at (0.000, 0.000, 0.000), Sm at (0.000, 0.500, 0.358), Sm at (0.500, 0.500, 0.000) and Ge at (0.000, 0.500, 0.721).

For the formation energy, the calculation gives -0.5753 eV/atom. The calculation puts the energy above the most stable polymorph in this dataset at 0.00 eV per formula unit.


Below is a relaxed structure of MnNbAlV, with properties calculated at the GGA-PBE level.

It has space group F-43m (No. 216), with a = 6.125 Å, b = 6.125 Å, c = 6.125 Å, α = 90.00°, β = 90.00° and γ = 90.00°. The distinct sites, in fractional coordinates, are Mn at (0.000, 0.000, 0.000), Nb at (0.250, 0.250, 0.250), Al at (0.250, 0.250, 0.750) and V at (0.000, 0.000, 0.500).

For the formation energy, the calculation gives -0.1470 eV/atom.


Below is a relaxed structure of Co2AgAu, with properties calculated at the GGA-PBE level.

It has space group R3m (No. 160, hexagonal axes), with a = 2.7459 Å, b = 2.7459 Å, c = 27.0302 Å, α = 90.00°, β = 90.00° and γ = 120.00°. The distinct sites, in fractional coordinates, are Co at (0.0000, 0.0000, 0.0000), Co at (0.0000, 0.0000, 0.2665), Ag at (0.0000, 0.0000, 0.5148) and Au at (0.0000, 0.0000, 0.7518).

For the formation energy, the calculation gives 0.2577 eV/atom.


Below is a relaxed structure of SmMgAlIn, with properties calculated at the GGA-PBE level.

It has space group F-43m (No. 216), with a = 7.254 Å, b = 7.254 Å, c = 7.254 Å, α = 90.00°, β = 90.00° and γ = 90.00°. The distinct sites, in fractional coordinates, are Sm at (0.000, 0.000, 0.000), Mg at (0.000, 0.000, 0.500), Al at (0.250, 0.250, 0.750) and In at (0.250, 0.250, 0.250).

For the formation energy, the calculation gives -0.2258 eV/atom. The calculation puts the energy above the most stable polymorph in this dataset at 0.53 eV per formula unit.


Below is a relaxed structure of BaCa2Er, with properties calculated at the GGA-PBE level.

It has space group P4/mmm (No. 123), with a = 4.178 Å, b = 4.178 Å, c = 9.762 Å, α = 90.00°, β = 90.00° and γ = 90.00°. The distinct sites, in fractional coordinates, are Ba at (0.000, 0.000, 0.000), Ca at (0.500, 0.500, 0.291) and Er at (0.000, 0.000, 0.500).

For the formation energy, the calculation gives 0.1274 eV/atom. The calculation puts the energy above the most stable polymorph in this dataset at 0.00 eV per formula unit.


Below is a relaxed structure of KLiInAu2, with properties calculated at the GGA-PBE level.

It has space group I-4m2 (No. 119), with a = 4.528 Å, b = 4.528 Å, c = 12.165 Å, α = 90.00°, β = 90.00° and γ = 90.00°. The distinct sites, in fractional coordinates, are K at (0.000, 0.000, 0.000), Li at (0.000, 0.500, 0.750), In at (0.000, 0.500, 0.250) and Au at (0.000, 0.000, 0.386).

For the formation energy, the calculation gives -0.3610 eV/atom.


Calculated DFT total energy, -0.194; -0.300; -0.177; -0.126; -0.092; -0.104 Ha/atom (same order as the records).
Calculated ρ, 7.456; 6.528; 11.930; 5.507; 3.750; 7.387 g/cm³ (same order as the records).
Calculated V, 165.1; 229.7; 176.5; 381.7; 170.4; 249.4 Å³ per cell (same order as the records).